Compound: Y2ScCd
Source: the Alexandria database
Functional: GGA-PBE
Structure: optimized geometry

```
4
Lattice="0.000 3.776 3.776 3.776 0.000 3.776 3.776 3.776 0.000" Properties=species:S:1:pos:R:3 pbc="T T T"
Y 0.000 0.000 0.000
Y 1.888 1.888 1.888
Sc 3.776 3.776 3.776
Cd 5.664 5.664 5.664
```

Values from the calculation:
Formation energy from the elements (eV per atom): 0.019
Spin magnetization (μB per formula unit): 0.79
DOS(E_F) (states/eV/f.u.): 6.1